This record from Alexandria via LeMat-Bulk describes an optimized crystal structure of TmMoBrO4. The functional is GGA+U.

Summary:
Total energy   -6.91 eV/atom
Magnetic moment   0.000 μB per atom
Distance to the lowest polymorph of the same formula   0.010 eV per atom

a b c (Å): 10.4529 7.2098 6.9206
angles (deg): 90.00 107.21 90.00
Closest atoms and distances in Å follow each position.
Space group C2/m (No. 12)
Asymmetric unit:
1 Tm 0.2304 0.0000 0.1189 x4  4 O 2.26-2.29
2 Mo 0.1359 0.5000 0.2669 x4  4 O 1.77-1.82
3 Br 0.0113 0.0000 0.7569 x4  2 Tm 2.85-2.90, 1 O 3.15
4 O 0.0427 0.5000 0.8021 x4  1 Mo 1.78
5 O 0.1989 0.3071 0.1521 x8  1 Mo 1.82
6 O 0.2014 0.5000 0.5344 x4  1 Mo 1.77